# 1
# DyErMg2Sn2 | OQMD | PBE | relaxed
# Calculated volume, Å³/f.u.: 152
# Total magnetization, μB per atom: 0.00
data_DyErMg2Sn2
_space_group_name_H-M_alt 'I 4 m m'
_space_group_IT_number 107
_space_group_name_Hall 'I 4 -2'
_cell_length_a 4.379
_cell_length_b 4.379
_cell_length_c 15.844
_cell_angle_alpha 90.00
_cell_angle_beta 90.00
_cell_angle_gamma 90.00
loop_
_atom_site_label
_atom_site_type_symbol
_atom_site_fract_x
_atom_site_fract_y
_atom_site_fract_z
Dy1 Dy 0.000 0.000 0.000
Er1 Er 0.000 0.000 0.334
Mg1 Mg 0.000 0.500 0.167
Sn1 Sn 0.000 0.000 0.531
Sn2 Sn 0.000 0.000 0.803

---

# 2
# HfSe2Cl12 | OQMD | PBE | relaxed
# Calculated volume, Å³/f.u.: 416
# Total magnetization, μB per atom: 0.00
data_HfSe2Cl12
_space_group_name_H-M_alt 'F d d 2'
_space_group_IT_number 43
_space_group_name_Hall 'F 2 -2d'
_cell_length_a 11.829
_cell_length_b 12.884
_cell_length_c 21.841
_cell_angle_alpha 90.00
_cell_angle_beta 90.00
_cell_angle_gamma 90.00
loop_
_atom_site_label
_atom_site_type_symbol
_atom_site_fract_x
_atom_site_fract_y
_atom_site_fract_z
Hf1 Hf 0.000 0.000 0.000
Se1 Se 0.007 0.277 0.919
Cl1 Cl 0.111 0.332 0.996
Cl2 Cl 0.115 0.339 0.845
Cl3 Cl 0.116 0.082 0.920
Cl4 Cl 0.118 0.097 0.422
Cl5 Cl 0.118 0.343 0.499
Cl6 Cl 0.125 0.076 0.077

---

# 3
# LuMgReMo | OQMD | PBE | relaxed
# Calculated volume, Å³/f.u.: 72
# Total magnetization, μB per atom: 0.00
data_LuMgReMo
_space_group_name_H-M_alt 'F -4 3 m'
_space_group_IT_number 216
_space_group_name_Hall 'F -4 2 3'
_cell_length_a 6.595
_cell_length_b 6.595
_cell_length_c 6.595
_cell_angle_alpha 90.00
_cell_angle_beta 90.00
_cell_angle_gamma 90.00
loop_
_atom_site_label
_atom_site_type_symbol
_atom_site_fract_x
_atom_site_fract_y
_atom_site_fract_z
Lu1 Lu 0.000 0.000 0.000
Mg1 Mg 0.250 0.250 0.750
Re1 Re 0.250 0.250 0.250
Mo1 Mo 0.000 0.000 0.500

---

Going through the records in order, we get uncorrected energy values of -47.27, -412.71, -114.37 eV/cell.